The following is a PBE calculation of HoZn8Ag3 after structural relaxation, from the Alexandria database.

Calculated values
DFT formation energy: -0.12 eV per atom

Cell and atoms, written as CIF:
```
data_HoZn8Ag3
_cell_length_a 5.1518
_cell_length_b 5.1518
_cell_length_c 8.6739
_cell_angle_alpha 90.00
_cell_angle_beta 90.00
_cell_angle_gamma 120.00
_space_group_name_H-M_alt 'P 3 m 1'
_space_group_IT_number 156
_space_group_name_Hall 'P 3 -2"'
loop_
_atom_site_label
_atom_site_type_symbol
_atom_site_fract_x
_atom_site_fract_y
_atom_site_fract_z
Ho1 Ho 0.0000 0.0000 0.0000
Zn1 Zn 0.1630 0.3260 0.6852
Zn2 Zn 0.3333 0.6667 0.4456
Zn3 Zn 0.3333 0.6667 0.9386
Zn4 Zn 0.5021 0.0042 0.1987
Ag1 Ag 0.0000 0.0000 0.3691
Ag2 Ag 0.6667 0.3333 0.5044
Ag3 Ag 0.6667 0.3333 0.8704
```

=====

The following is a PBE calculation of TlRhBr2 after structural relaxation, from the Alexandria database.

Calculated values
polymorph energy (0 for the lowest one): 2.20 eV per formula unit
ΔE_f (raw): 0.252 eV per atom

Cell and atoms, written as CIF:
```
data_TlRhBr2
_cell_length_a 4.2411
_cell_length_b 4.2411
_cell_length_c 12.4822
_cell_angle_alpha 90.00
_cell_angle_beta 90.00
_cell_angle_gamma 90.00
_space_group_name_H-M_alt 'I -4 m 2'
_space_group_IT_number 119
_space_group_name_Hall 'I -4 -2'
loop_
_atom_site_label
_atom_site_type_symbol
_atom_site_fract_x
_atom_site_fract_y
_atom_site_fract_z
Tl1 Tl 0.0000 0.0000 0.0000
Rh1 Rh 0.0000 0.5000 0.2500
Br1 Br 0.0000 0.0000 0.5000
Br2 Br 0.0000 0.5000 0.7500
```

=====

The following is a PBE calculation of LiYAl2 after structural relaxation, from the Alexandria database.

Calculated values
polymorph energy (0 for the lowest one): 1.39 eV per formula unit
DFT formation energy: 0.06 eV per atom

Cell and atoms, written as CIF:
```
data_LiYAl2
_cell_length_a 3.1270
_cell_length_b 3.1270
_cell_length_c 30.3046
_cell_angle_alpha 90.00
_cell_angle_beta 90.00
_cell_angle_gamma 120.00
_space_group_name_H-M_alt 'R 3 m'
_space_group_IT_number 160
_space_group_name_Hall 'R 3 -2"'
loop_
_atom_site_label
_atom_site_type_symbol
_atom_site_fract_x
_atom_site_fract_y
_atom_site_fract_z
Li1 Li 0.0000 0.0000 0.0000
Y1 Y 0.0000 0.0000 0.7651
Al1 Al 0.0000 0.0000 0.2579
Al2 Al 0.0000 0.0000 0.5186
```

=====

| no. | E (eV per cell) |
| --- | --- |
| 1 | -24.71 |
| 2 | -24.11 |
| 3 | -46.85 |